Entry from Alexandria: an optimized crystal structure of Sr2CdAu2 (GGA-PBE).

Cell lengths 6.1139, 6.1139, 5.9940 Å; angles 59.34, 59.34, 90.00 degrees
Fractional coordinates of all 5 atoms:
Sr1 0.2500 0.7500 0.5000
Sr2 0.7500 0.2500 0.5000
Cd1 0.0000 0.0000 0.0000
Au1 0.3385 0.3385 0.3230
Au2 0.6615 0.6615 0.6770

Summary:
Total energy, eV/atom: -2.693
Symmetry: I4/mmm